Record 1
# GGA-PBE NaDyPb4, optimized geometry
data_NaDyPb4
_cell_length_a 3.653
_cell_length_b 4.666
_cell_length_c 10.639
_cell_angle_alpha 90.00
_cell_angle_beta 96.89
_cell_angle_gamma 90.00
_symmetry_space_group_name_H-M 'P 1 2/m 1'
_symmetry_Int_Tables_number 10
loop_
_symmetry_equiv_pos_as_xyz
'x,y,z'
'-x,-y,-z'
'-x,y,-z'
'x,-y,z'
loop_
_atom_site_label
_atom_site_type_symbol
_atom_site_fract_x
_atom_site_fract_y
_atom_site_fract_z
_atom_site_occupancy
Na1 Na 0.000 0.000 0.000 1
Dy1 Dy 0.500 0.500 0.500 1
Pb1 Pb 0.005 0.000 0.342 1
Pb2 Pb 0.430 0.500 0.822 1
# - spin magnetization (Bohr magnetons per cell) = 0.0
# - calculated density (g cm⁻³) = 9.35
# - calculated volume (Å³/cell) = 180.1
# - ΔH_f (0 K) (meV/atom) = -168
# - energy relative to the lowest polymorph listed for this composition (eV/atom) = 0.0000

Record 2
# GGA-PBE PaMn2CN, optimized geometry
data_PaMn2CN
_cell_length_a 3.405
_cell_length_b 10.042
_cell_length_c 6.618
_cell_angle_alpha 90.00
_cell_angle_beta 90.00
_cell_angle_gamma 90.00
_symmetry_space_group_name_H-M 'C m c m'
_symmetry_Int_Tables_number 63
_symmetry_space_group_name_Hall '-C 2c 2'
loop_
_atom_site_label
_atom_site_type_symbol
_atom_site_fract_x
_atom_site_fract_y
_atom_site_fract_z
_atom_site_occupancy
Pa1 Pa 0.000 0.041 0.250 1
Mn1 Mn 0.000 0.312 0.064 1
C1 C 0.000 0.241 0.750 1
N1 N 0.000 0.500 0.000 1
# - spin magnetization (Bohr magnetons per cell) = 1.6
# - calculated density (g cm⁻³) = 10.77
# - calculated volume (Å³/cell) = 226.3
# - energy relative to the elements, uncorrected (eV/atom) = -0.50